## P
A relaxed structure of Ba6Tl3O. Source: the Alexandria database, functional PBE.

Lattice parameters (Å, degrees): 7.692 10.832 10.832 102.64 90.00 90.00
Positions (direct):
Tl1 0.920 0.524 0.476
Ba1 0.726 0.299 0.701
Ba2 0.199 0.435 0.862
Ba3 0.226 0.701 0.299
Ba4 0.199 0.746 0.695
O1 0.026 0.241 0.759
Ba5 0.988 0.090 0.910
O2 0.526 0.759 0.241
Ba6 0.699 0.254 0.305
Tl2 0.015 0.993 0.240
Tl3 0.515 0.240 0.993
Ba7 0.699 0.565 0.138
Ba8 0.488 0.910 0.090
Ba9 0.699 0.862 0.435
Ba10 0.199 0.305 0.254
Tl4 0.015 0.760 0.007
Ba11 0.699 0.695 0.746
Tl5 0.420 0.476 0.524
Tl6 0.515 0.007 0.760
Ba12 0.199 0.138 0.565

Results
Total magnetization: 0.000 μB/atom

***

## Q
A relaxed structure of Ba6Tl3O. Source: the Alexandria database, functional PBE.

Lattice parameters (Å, degrees): 8.091 9.415 11.179 90.00 79.70 90.00
Positions (direct):
Ba1 0.130 0.289 0.066
Ba2 0.357 0.541 0.724
Tl1 0.500 0.500 0.000
Ba3 0.809 0.650 0.554
Ba4 0.691 0.150 0.946
Ba5 0.309 0.850 0.054
Ba6 0.370 0.789 0.434
Tl2 0.942 0.388 0.754
Ba7 0.857 0.959 0.224
Ba8 0.191 0.350 0.446
Ba9 0.870 0.711 0.934
Tl3 0.442 0.112 0.254
Tl4 0.558 0.888 0.746
Ba10 0.630 0.211 0.566
O1 0.000 0.000 0.000
Tl5 0.058 0.612 0.246
Tl6 0.000 0.000 0.500
Ba11 0.643 0.459 0.276
Ba12 0.143 0.041 0.776
O2 0.500 0.500 0.500

Results
Total magnetization: 0.000 μB/atom

***

Verdict on stability: P comes out on top.

***

## P
A relaxed structure of Ba3TlO4. Source: the Alexandria database, functional PBE.

Lattice parameters (Å, degrees): 5.634 7.774 8.973 90.00 90.00 90.00
Positions (direct):
O1 0.561 0.147 0.500
O2 0.633 0.179 0.000
Ba1 0.552 0.329 0.751
O3 0.062 0.329 0.750
O4 0.062 0.329 0.250
O5 0.562 0.671 0.750
O6 0.133 0.821 0.500
Ba2 0.052 0.671 0.749
Ba3 0.551 0.854 0.000
Ba4 0.051 0.146 0.500
Tl1 0.043 0.175 0.000
O7 0.061 0.853 0.000
Ba5 0.552 0.329 0.249
O8 0.562 0.671 0.250
Tl2 0.543 0.825 0.500
Ba6 0.052 0.671 0.251

Results
Total magnetization: 0.000 μB/atom

***

## Q
A relaxed structure of Ba3TlO4. Source: the Alexandria database, functional PBE.

Lattice parameters (Å, degrees): 7.860 7.818 11.267 90.00 90.05 90.00
Positions (direct):
Ba1 0.485 0.254 0.994
Ba2 0.997 0.754 0.499
Ba3 0.015 0.754 0.006
Ba4 0.007 0.253 0.000
O1 0.561 0.795 0.247
Ba5 0.250 0.007 0.256
O2 0.533 0.220 0.245
O3 0.751 0.002 0.008
O4 0.253 0.009 0.498
Tl1 0.732 0.021 0.220
Ba6 0.493 0.753 0.000
O5 0.249 0.505 0.975
O6 0.967 0.721 0.755
O7 0.749 0.502 0.992
O8 0.955 0.195 0.248
Tl2 0.243 0.507 0.273
O9 0.545 0.695 0.752
O10 0.247 0.509 0.502
Ba7 0.749 0.503 0.243
Ba8 0.250 0.507 0.743
Tl3 0.768 0.521 0.780
O11 0.465 0.218 0.748
O12 0.035 0.718 0.252
O13 0.939 0.295 0.753
Ba9 0.751 0.003 0.757
Ba10 0.503 0.254 0.501
O14 0.750 0.004 0.530
Tl4 0.257 0.007 0.727
O15 0.749 0.504 0.470
Ba11 0.519 0.754 0.499
Ba12 0.981 0.254 0.501
O16 0.251 0.005 0.025

Results
Total magnetization: 0.000 μB/atom

***

Verdict on stability: Q comes out on top.

***

## P
A relaxed structure of Ba2TlO3. Source: the Alexandria database, functional PBE.

Lattice parameters (Å, degrees): 6.288 6.969 13.088 88.09 85.77 63.19
Positions (direct):
O1 0.022 0.956 0.750
O2 0.159 0.366 0.389
O3 0.900 0.800 0.035
Ba1 0.970 0.604 0.856
Ba2 0.669 0.229 0.924
O4 0.299 0.800 0.465
Ba3 0.030 0.396 0.144
O5 0.342 0.316 0.750
O6 0.701 0.200 0.535
O7 0.525 0.634 0.889
Tl1 0.689 0.999 0.670
O8 0.841 0.634 0.611
Tl2 0.689 0.001 0.170
Ba4 0.331 0.771 0.076
Ba5 0.573 0.396 0.356
Ba6 0.898 0.771 0.424
Tl3 0.311 0.001 0.330
Ba7 0.102 0.229 0.576
O9 0.100 0.200 0.965
Tl4 0.311 0.999 0.830
O10 0.978 0.044 0.250
Ba8 0.427 0.604 0.644
O11 0.658 0.684 0.250
O12 0.475 0.366 0.111

Results
Total magnetization: 0.000 μB/atom

***

## Q
A relaxed structure of Ba2TlO3. Source: the Alexandria database, functional PBE.

Lattice parameters (Å, degrees): 3.808 4.450 7.891 106.38 103.96 90.00
Positions (direct):
Tl1 0.000 0.000 0.000
O1 0.831 0.831 0.663
Ba1 0.654 0.654 0.308
O2 0.000 0.500 0.000
Ba2 0.346 0.346 0.692
O3 0.169 0.169 0.337

Results
Total magnetization: 0.000 μB/atom

***

Verdict on stability: P comes out on top.

***

## P
A relaxed structure of Ba4Tl2O. Source: the Alexandria database, functional PBE.

Lattice parameters (Å, degrees): 5.596 5.596 9.487 72.85 72.85 90.00
Positions (direct):
Tl1 0.371 0.371 0.258
Tl2 0.629 0.629 0.742
O1 0.000 0.000 0.000
Ba1 0.500 0.000 0.000
Ba2 0.165 0.165 0.670
Ba3 0.835 0.835 0.330
Ba4 0.000 0.500 0.000

Results
Total magnetization: 0.000 μB/atom

***

## Q
A relaxed structure of Ba4Tl2O. Source: the Alexandria database, functional PBE.

Lattice parameters (Å, degrees): 9.076 7.785 8.668 90.00 104.67 90.00
Positions (direct):
Ba1 0.071 0.750 0.911
Tl1 0.754 0.750 0.131
Ba2 0.929 0.250 0.089
Ba3 0.565 0.003 0.773
O1 0.248 0.750 0.183
Ba4 0.119 0.750 0.410
Ba5 0.565 0.497 0.773
Ba6 0.435 0.997 0.227
Tl2 0.741 0.750 0.499
O2 0.752 0.250 0.817
Ba7 0.881 0.250 0.590
Tl3 0.246 0.250 0.869
Ba8 0.435 0.503 0.227
Tl4 0.259 0.250 0.501

Results
Total magnetization: 0.000 μB/atom

***

Verdict on stability: Q comes out on top.

***

## P
A relaxed structure of Ba4TlO. Source: the Alexandria database, functional PBE.

Lattice parameters (Å, degrees): 6.837 9.480 11.265 90.00 90.00 129.36
Positions (direct):
Ba1 0.017 0.290 0.560
O1 0.017 0.875 0.250
O2 0.983 0.125 0.750
Ba2 0.356 0.128 0.750
Ba3 0.644 0.872 0.250
Ba4 0.605 0.788 0.750
Ba5 0.983 0.710 0.060
Ba6 0.983 0.710 0.440
Tl1 0.938 0.593 0.750
Ba7 0.017 0.290 0.940
Tl2 0.062 0.407 0.250
Ba8 0.395 0.212 0.250

Results
Total magnetization: 0.000 μB/atom

***

## Q
A relaxed structure of Ba4TlO. Source: the Alexandria database, functional PBE.

Lattice parameters (Å, degrees): 7.673 7.703 10.735 110.93 110.84 90.26
Positions (direct):
Ba1 0.199 0.333 0.392
Ba2 0.668 0.307 0.109
O1 0.875 0.125 0.250
Ba3 0.059 0.198 0.891
Ba4 0.692 0.059 0.392
Ba5 0.308 0.941 0.608
Ba6 0.801 0.667 0.608
Ba7 0.332 0.693 0.891
Tl1 0.625 0.375 0.751
Tl2 0.375 0.625 0.249
Ba8 0.941 0.802 0.109
O2 0.125 0.875 0.750

Results
Total magnetization: 0.067 μB/atom

***

Verdict on stability: P comes out on top.

***

## P
A relaxed structure of BaTl3O. Source: the Alexandria database, functional PBE.

Lattice parameters (Å, degrees): 5.307 5.307 5.307 90.00 90.00 90.00
Positions (direct):
Ba1 0.500 0.500 0.500
O1 0.000 0.000 0.000
Tl1 0.000 0.500 0.000
Tl2 0.500 0.000 0.000
Tl3 0.000 0.000 0.500

Results
Total magnetization: 0.000 μB/atom

***

## Q
A relaxed structure of BaTl3O. Source: the Alexandria database, functional PBE.

Lattice parameters (Å, degrees): 6.563 6.563 6.563 90.00 90.00 90.00
Positions (direct):
Tl1 0.500 0.000 0.000
Ba1 0.000 0.000 0.000
Tl2 0.000 0.000 0.500
Tl3 0.000 0.500 0.000
O1 0.500 0.500 0.500

Results
Total magnetization: 0.000 μB/atom

***

Verdict on stability: P comes out on top.

***

## P
A relaxed structure of BaTm2O4. Source: the Alexandria database, functional PBE.

Lattice parameters (Å, degrees): 6.014 6.014 21.774 89.62 89.62 61.21
Positions (direct):
O1 0.895 0.666 0.248
Tm1 0.784 0.545 0.552
O2 0.229 0.889 0.123
Tm2 0.455 0.216 0.948
O3 0.994 0.345 0.375
O4 0.771 0.111 0.877
O5 0.345 0.994 0.875
O6 0.455 0.545 0.250
O7 0.889 0.229 0.623
Tm3 0.545 0.784 0.052
O8 0.907 0.794 0.497
O9 0.006 0.655 0.625
Ba1 0.889 0.111 0.250
O10 0.093 0.206 0.503
Ba2 0.111 0.889 0.750
Tm4 0.782 0.557 0.694
O11 0.473 0.769 0.619
O12 0.527 0.231 0.381
Tm5 0.114 0.877 0.929
O13 0.769 0.473 0.119
O14 0.500 0.500 0.500
Tm6 0.557 0.782 0.194
O15 0.231 0.527 0.881
Tm7 0.216 0.455 0.448
Ba3 0.553 0.775 0.357
Tm8 0.123 0.886 0.571
Ba4 0.447 0.225 0.643
O16 0.545 0.455 0.750
O17 0.794 0.907 0.997
O18 0.666 0.895 0.748
O19 0.334 0.105 0.252
O20 0.500 0.500 0.000
O21 0.206 0.093 0.003
Tm9 0.443 0.218 0.806
Tm10 0.886 0.123 0.071
O22 0.655 0.006 0.125
O23 0.105 0.334 0.752
Tm11 0.877 0.114 0.429
Tm12 0.218 0.443 0.306
Ba5 0.775 0.553 0.857
O24 0.111 0.771 0.377
Ba6 0.225 0.447 0.143

Results
Total magnetization: 0.000 μB/atom

***

## Q
A relaxed structure of BaTm2O4. Source: the Alexandria database, functional PBE.

Lattice parameters (Å, degrees): 5.860 5.860 11.404 90.00 90.00 146.20
Positions (direct):
O1 0.000 0.000 0.500
Tm1 0.365 0.635 0.570
Ba1 0.112 0.888 0.750
O2 0.740 0.260 0.601
Tm2 0.365 0.635 0.930
Tm3 0.635 0.365 0.430
O3 0.740 0.260 0.899
O4 0.260 0.740 0.399
O5 0.000 0.000 0.000
O6 0.260 0.740 0.101
O7 0.434 0.566 0.750
Ba2 0.888 0.112 0.250
Tm4 0.635 0.365 0.070
O8 0.566 0.434 0.250

Results
Total magnetization: 0.000 μB/atom

***

Verdict on stability: P comes out on top.

***

## P
A relaxed structure of BaU2O6. Source: the Alexandria database, functional PBE.

Lattice parameters (Å, degrees): 7.808 7.808 7.808 60.00 60.00 60.00
Each line ends with the local moment (μB).
Positions (direct):
O1 0.205 0.795 0.795  -0.04
O2 0.455 0.045 0.045  -0.04
O3 0.795 0.205 0.795  -0.04
U1 0.125 0.625 0.125  1.05
O4 0.045 0.455 0.045  -0.04
Ba1 0.500 0.500 0.500  0.01
O5 0.205 0.205 0.795  -0.04
O6 0.455 0.045 0.455  -0.04
O7 0.045 0.045 0.455  -0.04
U2 0.625 0.125 0.125  1.05
O8 0.455 0.455 0.045  -0.04
O9 0.205 0.795 0.205  -0.04
U3 0.125 0.125 0.125  1.05
Ba2 0.750 0.750 0.750  0.01
O10 0.795 0.795 0.205  -0.04
O11 0.795 0.205 0.205  -0.04
O12 0.045 0.455 0.455  -0.04
U4 0.125 0.125 0.625  1.05

Results
Total magnetization: 0.224 μB/atom

***

## Q
A relaxed structure of BaU2O6. Source: the Alexandria database, functional PBE.

Lattice parameters (Å, degrees): 3.811 3.811 9.301 101.82 101.82 90.00
Each line ends with the local moment (μB).
Positions (direct):
Ba1 0.000 0.000 0.000  0.01
O1 0.750 0.250 0.500  -0.05
O2 0.606 0.106 0.213  -0.05
U1 0.670 0.670 0.339  1.10
O3 0.894 0.394 0.787  -0.05
O4 0.250 0.750 0.500  -0.05
O5 0.106 0.606 0.213  -0.05
O6 0.394 0.894 0.787  -0.05
U2 0.330 0.330 0.661  1.10

Results
Total magnetization: 0.223 μB/atom

***

Verdict on stability: Q comes out on top.

***

## P
A relaxed structure of Ba2UO5. Source: the Alexandria database, functional PBE.

Lattice parameters (Å, degrees): 6.056 6.899 8.523 107.73 90.00 116.03
Positions (direct):
O1 0.637 0.741 0.408
O2 0.650 0.745 0.966
O3 0.896 0.259 0.092
O4 0.109 0.000 0.250
O5 0.095 0.745 0.466
O6 0.350 0.255 0.034
O7 0.891 0.000 0.750
U1 0.000 0.000 0.000
O8 0.104 0.741 0.908
O9 0.905 0.255 0.534
O10 0.363 0.259 0.592
Ba1 0.635 0.337 0.332
Ba2 0.701 0.337 0.832
Ba3 0.299 0.663 0.168
U2 0.000 0.000 0.500
Ba4 0.365 0.663 0.668

Results
Total magnetization: 0.000 μB/atom

***

## Q
A relaxed structure of Ba2UO5. Source: the Alexandria database, functional PBE.

Lattice parameters (Å, degrees): 4.230 6.217 6.217 90.00 90.00 90.00
Positions (direct):
U1 0.000 0.000 0.000
O1 0.000 0.233 0.767
O2 0.000 0.767 0.767
Ba1 0.500 0.500 0.000
O3 0.000 0.767 0.233
O4 0.000 0.233 0.233
Ba2 0.500 0.000 0.500
O5 0.500 0.000 0.000

Results
Total magnetization: 0.000 μB/atom

***

Verdict on stability: P comes out on top.